Material: KTePt
Method: DFT, PBE
State: relaxed

Cell and atoms, written as CIF:
```
data_KTePt
_cell_length_a 6.901
_cell_length_b 6.901
_cell_length_c 6.901
_cell_angle_alpha 90.00
_cell_angle_beta 90.00
_cell_angle_gamma 90.00
_symmetry_space_group_name_H-M 'F -4 3 m'
_symmetry_Int_Tables_number 216
_symmetry_space_group_name_Hall 'F -4 2 3'
loop_
_atom_site_label
_atom_site_fract_x
_atom_site_fract_y
_atom_site_fract_z
K1 0.000 0.000 0.000
Te1 0.000 0.000 0.500
Pt1 0.250 0.250 0.250
```

Material: BaAg2MoSeS3
Method: DFT, PBE
State: relaxed

Cell and atoms, written as CIF:
```
data_BaAg2MoSeS3
_cell_length_a 6.424
_cell_length_b 6.476
_cell_length_c 6.488
_cell_angle_alpha 110.81
_cell_angle_beta 116.94
_cell_angle_gamma 100.47
_symmetry_space_group_name_H-M 'P 1'
_symmetry_Int_Tables_number 1
loop_
_symmetry_equiv_pos_as_xyz
'x,y,z'
loop_
_atom_site_label
_atom_site_fract_x
_atom_site_fract_y
_atom_site_fract_z
Ba1 0.000 0.000 0.000
Ag1 0.179 0.693 0.501
Ag2 0.830 0.316 0.504
Mo1 0.515 0.507 0.033
Se1 0.471 0.472 0.623
S1 0.146 0.523 0.997
S2 0.534 0.150 0.016
S3 0.861 0.865 0.391
```

# Ta2W3, relaxed, DFT PBE
# **Energy relative to the elements**: 0.030 eV per atom
data_Ta2W3
_cell_length_a 9.955
_cell_length_b 9.955
_cell_length_c 5.222
_cell_angle_alpha 90.00
_cell_angle_beta 90.00
_cell_angle_gamma 90.00
_symmetry_space_group_name_H-M 'P 42/m n m'
_symmetry_Int_Tables_number 136
_symmetry_space_group_name_Hall '-P 4n 2n'
loop_
_atom_site_label
_atom_site_fract_x
_atom_site_fract_y
_atom_site_fract_z
Ta1 0.034 0.370 0.000
Ta2 0.103 0.103 0.000
W1 0.000 0.000 0.500
W2 0.064 0.255 0.500
W3 0.186 0.814 0.249

# NpRe, relaxed, DFT PBE
# **Energy relative to the elements**: 0.777 eV per atom
data_NpRe
_cell_length_a 5.451
_cell_length_b 5.451
_cell_length_c 5.451
_cell_angle_alpha 90.00
_cell_angle_beta 90.00
_cell_angle_gamma 90.00
_symmetry_space_group_name_H-M 'F m -3 m'
_symmetry_Int_Tables_number 225
_symmetry_space_group_name_Hall '-F 4 2 3'
loop_
_atom_site_label
_atom_site_fract_x
_atom_site_fract_y
_atom_site_fract_z
Np1 0.000 0.000 0.000
Re1 0.000 0.000 0.500

Material: CuI2
Method: DFT, PBE
State: relaxed

Cell and atoms, written as CIF:
```
data_CuI2
_cell_length_a 13.421
_cell_length_b 4.344
_cell_length_c 7.216
_cell_angle_alpha 90.00
_cell_angle_beta 104.39
_cell_angle_gamma 90.00
_symmetry_space_group_name_H-M 'C 1 2/c 1'
_symmetry_Int_Tables_number 15
loop_
_symmetry_equiv_pos_as_xyz
'x,y,z'
'-x,-y,-z'
'-x,y,-z+1/2'
'x,-y,z+1/2'
'x+1/2,y+1/2,z'
'-x+1/2,-y+1/2,-z'
'-x+1/2,y+1/2,-z+1/2'
'x+1/2,-y+1/2,z+1/2'
loop_
_atom_site_label
_atom_site_fract_x
_atom_site_fract_y
_atom_site_fract_z
Cu1 0.000 0.000 0.000
I1 0.135 0.166 0.324
```

Material: LaErMg
Method: DFT, PBE
State: relaxed

Cell and atoms, written as CIF:
```
data_LaErMg
_cell_length_a 7.8435
_cell_length_b 7.8435
_cell_length_c 5.3236
_cell_angle_alpha 90.00
_cell_angle_beta 90.00
_cell_angle_gamma 120.00
_symmetry_space_group_name_H-M 'P -6 2 m'
_symmetry_Int_Tables_number 189
_symmetry_space_group_name_Hall 'P -6 -2'
loop_
_atom_site_label
_atom_site_fract_x
_atom_site_fract_y
_atom_site_fract_z
La1 0.0000 0.4584 0.0000
Er1 0.0000 0.0000 0.0000
Er2 0.3333 0.6667 0.5000
Mg1 0.0000 0.7737 0.5000
```

Material: TaAlFeW
Method: DFT, PBE
State: relaxed

Cell and atoms, written as CIF:
```
data_TaAlFeW
_cell_length_a 6.209
_cell_length_b 6.209
_cell_length_c 6.209
_cell_angle_alpha 90.00
_cell_angle_beta 90.00
_cell_angle_gamma 90.00
_symmetry_space_group_name_H-M 'F -4 3 m'
_symmetry_Int_Tables_number 216
_symmetry_space_group_name_Hall 'F -4 2 3'
loop_
_atom_site_label
_atom_site_fract_x
_atom_site_fract_y
_atom_site_fract_z
Ta1 0.000 0.000 0.000
Al1 0.000 0.000 0.500
Fe1 0.250 0.250 0.750
W1 0.250 0.250 0.250
```

Material: SrYTeAuSe2
Method: DFT, PBE
State: relaxed

Cell and atoms, written as CIF:
```
data_SrYTeAuSe2
_cell_length_a 4.141
_cell_length_b 14.607
_cell_length_c 10.981
_cell_angle_alpha 90.00
_cell_angle_beta 90.00
_cell_angle_gamma 90.00
_symmetry_space_group_name_H-M 'C m c m'
_symmetry_Int_Tables_number 63
_symmetry_space_group_name_Hall '-C 2c 2'
loop_
_atom_site_label
_atom_site_fract_x
_atom_site_fract_y
_atom_site_fract_z
Sr1 0.000 0.218 0.250
Y1 0.000 0.000 0.000
Te1 0.000 0.102 0.750
Au1 0.000 0.473 0.750
Se1 0.000 0.365 0.558
```

no.,final energy (eV per cell)
1,-42.53
2,-39.49
3,-374.60
4,-94.56
5,-27.75
6,-32.03
7,-147.11
8,-118.91